VASP calculation (PBE) on a relaxed TlFeAg4 crystal.

The energy relative to the elements is 452.7 meV/atom. For the total moment, the calculation gives 13.8 μB/cell. For the uncorrected energy, the calculation gives -3.2530 eV/atom.

It has space group F-43m (No. 216), with a = 7.8156 Å, b = 7.8156 Å, c = 7.8156 Å, α = 90.00°, β = 90.00° and γ = 90.00°. The distinct sites, in fractional coordinates, are Tl at (0.0000, 0.0000, 0.0000), Fe at (0.2500, 0.2500, 0.2500) and Ag at (0.1245, 0.1245, 0.6245).